Record 1
Below is crystalline MgSc2Be at its relaxed geometry, with properties calculated at the GGA-PBE level.

Lattice parameters (Å, degrees): 3.1958 3.1958 7.6651 90.00 90.00 90.00
With the nearest neighbours (Å) after each atom.
Fractional positions:
Mg: 0.0000 0.0000 0.0000  4 Mg 3.20, 8 Sc 3.23
Sc: 0.5000 0.5000 0.3008  4 Be 2.73, 1 Sc 3.05
Sc: 0.5000 0.5000 0.6992  4 Be 2.73, 1 Sc 3.05
Be: 0.0000 0.0000 0.5000  8 Sc 2.73

For the formation energy, the calculation gives -0.059 eV per atom. For the energy above the most stable polymorph in this dataset, the calculation gives 0.0 meV/atom.

=====

Record 2
Below is crystalline TbZrGaPd at its relaxed geometry, with properties calculated at the GGA-PBE level.

Lattice parameters (Å, degrees): 4.9038 4.9038 4.9038 60.00 60.00 60.00
With the nearest neighbours (Å) after each atom.
Fractional positions:
Tb: 0.0000 0.0000 0.0000  4 Pd 3.00, 4 Ga 3.00
Zr: 0.5000 0.5000 0.5000  4 Pd 3.00, 4 Ga 3.00
Ga: 0.2500 0.2500 0.2500  4 Zr 3.00, 4 Tb 3.00
Pd: 0.7500 0.7500 0.7500  4 Tb 3.00, 4 Zr 3.00

For the formation energy, the calculation gives -0.530 eV per atom.

=====

Record 3
Below is crystalline BaTlPdO4 at its relaxed geometry, with properties calculated at the GGA-PBE level.

Lattice parameters (Å, degrees): 6.7266 6.7266 6.7266 113.35 112.81 102.47
With the nearest neighbours (Å) after each atom.
Fractional positions:
Ba: 0.3910 0.1410 0.2500  4 O 2.49-2.62
Ba: 0.6090 0.8590 0.7500  4 O 2.49-2.62
Tl: 0.0000 0.0000 0.5000  6 O 2.31-2.36
Tl: 0.0000 0.5000 0.0000  6 O 2.31-2.36
Pd: 0.0000 0.5000 0.5000  6 O 2.04-2.27
Pd: 0.5000 0.5000 0.0000  6 O 2.04-2.27
O: 0.1830 0.7370 0.4461  1 Pd 2.04
O: 0.2091 0.2630 0.9461  1 Pd 2.04
O: 0.2658 0.3406 0.5747  2 Pd 2.27, 1 Tl 2.31
O: 0.2658 0.6911 0.9253  2 Pd 2.27, 1 Tl 2.31
O: 0.7342 0.3089 0.0747  2 Pd 2.27, 1 Tl 2.31
O: 0.7342 0.6594 0.4253  2 Pd 2.27, 1 Tl 2.31
O: 0.7909 0.7370 0.0539  1 Pd 2.04
O: 0.8170 0.2630 0.5539  1 Pd 2.04

The formation energy without anion corrections comes out at -1.08 eV per atom.

=====

Record 4
Below is crystalline Na2Ca2Mn at its relaxed geometry, with properties calculated at the GGA-PBE level.

Lattice parameters (Å, degrees): 8.0371 8.0371 5.7616 90.00 90.00 90.00
With the nearest neighbours (Å) after each atom.
Fractional positions:
Na: 0.1599 0.3401 0.0000  6 Ca 3.53-3.87, 1 Na 3.64
Na: 0.3401 0.8401 0.0000  6 Ca 3.53-3.87, 1 Na 3.64
Na: 0.6599 0.1599 0.0000  6 Ca 3.53-3.87, 1 Na 3.64
Na: 0.8401 0.6599 0.0000  6 Ca 3.53-3.87, 1 Na 3.64
Ca: 0.1608 0.6608 0.5000  2 Mn 3.02
Ca: 0.3392 0.1608 0.5000  2 Mn 3.02
Ca: 0.6608 0.8392 0.5000  2 Mn 3.02
Ca: 0.8392 0.3392 0.5000  2 Mn 3.02
Mn: 0.0000 0.0000 0.5000  4 Ca 3.02
Mn: 0.5000 0.5000 0.5000  4 Ca 3.02

For the formation energy, the calculation gives 0.505 eV per atom. For the energy above the most stable polymorph in this dataset, the calculation gives 0.0 meV/atom.

=====

Record 5
Below is crystalline BeTl2Au at its relaxed geometry, with properties calculated at the GGA-PBE level.

Lattice parameters (Å, degrees): 6.9956 6.9956 6.9956 96.10 96.10 141.95
With the nearest neighbours (Å) after each atom.
Fractional positions:
Be: 0.0000 0.0000 0.0000  2 Au 2.28
Be: 0.7500 0.2500 0.5000  2 Au 2.28
Tl: 0.3750 0.2340 0.3590  2 Be 2.61
Tl: 0.7660 0.1250 0.1410  2 Be 2.61
Tl: 0.8750 0.0160 0.6410  2 Be 2.61
Tl: 0.9840 0.6250 0.8590  2 Be 2.61
Au: 0.2500 0.7500 0.5000  2 Be 2.28
Au: 0.5000 0.5000 0.0000  2 Be 2.28

For the formation energy, the calculation gives 0.257 eV per atom. For the energy above the most stable polymorph in this dataset, the calculation gives 164.4 meV/atom.

=====

Record 6
Below is crystalline Mg2PbN at its relaxed geometry, with properties calculated at the GGA-PBE level.

Lattice parameters (Å, degrees): 7.8944 7.8944 7.8944 24.16 24.16 24.16
With the nearest neighbours (Å) after each atom.
Fractional positions:
Mg: 0.2111 0.2111 0.2111  3 N 2.16
Mg: 0.7889 0.7889 0.7889  3 N 2.16
Pb: 0.0000 0.0000 0.0000  6 Pb 3.30, 6 Mg 3.40
N: 0.5000 0.5000 0.5000  6 Mg 2.16

The formation energy without anion corrections comes out at -0.44 eV per atom. For the energy above the most stable polymorph in this dataset, the calculation gives 0.0 meV/atom.

=====

Record 7
Below is crystalline Cd6Hg2Au at its relaxed geometry, with properties calculated at the GGA-PBE level.

Lattice parameters (Å, degrees): 7.8563 7.8563 9.5332 114.12 114.12 52.88
With the nearest neighbours (Å) after each atom.
Fractional positions:
Cd: 0.0496 0.6177 0.9475  1 Au 2.82, 3 Hg 2.89-3.12, 3 Cd 2.98-3.12
Cd: 0.1459 0.7526 0.5337  2 Au 2.97-3.13, 5 Cd 2.98-3.30, 2 Hg 3.07-3.16
Cd: 0.2474 0.8541 0.9663  2 Au 2.97-3.13, 5 Cd 2.98-3.30, 2 Hg 3.07-3.16
Cd: 0.3823 0.9504 0.5525  1 Au 2.82, 3 Hg 2.89-3.12, 3 Cd 2.98-3.12
Cd: 0.3855 0.3979 0.2502  1 Au 2.94, 6 Cd 3.05-3.26, 2 Hg 3.11-3.25
Cd: 0.3979 0.3855 0.7502  1 Au 2.94, 6 Cd 3.05-3.26, 2 Hg 3.11-3.25
Cd: 0.6021 0.6145 0.2498  1 Au 2.94, 6 Cd 3.05-3.26, 2 Hg 3.11-3.25
Cd: 0.6145 0.6021 0.7498  1 Au 2.94, 6 Cd 3.05-3.26, 2 Hg 3.11-3.25
Cd: 0.6177 0.0496 0.4475  1 Au 2.82, 3 Hg 2.89-3.12, 3 Cd 2.98-3.12
Cd: 0.7526 0.1459 0.0337  2 Au 2.97-3.13, 5 Cd 2.98-3.30, 2 Hg 3.07-3.16
Cd: 0.8541 0.2474 0.4663  2 Au 2.97-3.13, 5 Cd 2.98-3.30, 2 Hg 3.07-3.16
Cd: 0.9504 0.3823 0.0525  1 Au 2.82, 3 Hg 2.89-3.12, 3 Cd 2.98-3.12
Hg: 0.1302 0.3203 0.3710  6 Cd 2.89-3.16, 1 Hg 3.11
Hg: 0.3203 0.1302 0.8710  6 Cd 2.89-3.16, 1 Hg 3.11
Hg: 0.6797 0.8698 0.1290  6 Cd 2.89-3.16, 1 Hg 3.11
Hg: 0.8698 0.6797 0.6290  6 Cd 2.89-3.16, 1 Hg 3.11
Au: 0.1350 0.8650 0.2500  8 Cd 2.82-3.13
Au: 0.8650 0.1350 0.7500  8 Cd 2.82-3.13

For the formation energy, the calculation gives -0.012 eV per atom. For the energy above the most stable polymorph in this dataset, the calculation gives 17.7 meV/atom.

=====

Record 8
Below is crystalline CaSi2As at its relaxed geometry, with properties calculated at the GGA-PBE level.

Lattice parameters (Å, degrees): 3.1948 3.1948 7.8799 90.00 90.00 90.00
With the nearest neighbours (Å) after each atom.
Fractional positions:
Ca: 0.0000 0.0000 0.0000  4 As 3.09, 4 Si 3.18, 4 Ca 3.19
Si: 0.0000 0.0000 0.4414  4 Si 2.57
Si: 0.5000 0.5000 0.2847  4 Si 2.57
As: 0.5000 0.5000 0.7324  4 Ca 3.09, 4 As 3.19, 4 Si 3.22

The formation energy without anion corrections comes out at 0.10 eV per atom.